Material: Li2PrEr2Pb2
Method: DFT, GGA-PBE
State: optimized geometry

Structure (CIF):
```
data_Li2PrEr2Pb2
_chemical_formula_sum 'Li6 Pr3 Er6 Pb6'
_symmetry_space_group_name_H-M 'R -3 m'
_symmetry_Int_Tables_number 166
_symmetry_space_group_name_Hall '-R 3 2"'
_cell_length_a 4.8794
_cell_length_b 4.8794
_cell_length_c 26.9123
_cell_angle_alpha 90.00
_cell_angle_beta 90.00
_cell_angle_gamma 120.00
loop_
_atom_site_label
_atom_site_fract_x
_atom_site_fract_y
_atom_site_fract_z
Li1 0.0000 0.0000 0.0852
Pr1 0.0000 0.0000 0.5000
Er1 0.0000 0.0000 0.3690
Pb1 0.0000 0.0000 0.2401
```

E_form = -0.33 eV per atom